Compound: ReSbTe2
Source: the Alexandria database
Functional: PBEsol
Structure: optimized geometry

Calculated values
E_tot: -6.0186 eV per atom

Cell lengths 3.169, 3.169, 9.596 Å; angles 90.00, 90.00, 90.00 degrees
Element x y z (fractional)
Sb (0.500, 0.500, 0.681)
Te (0.000, 0.000, 0.997)
Te (0.500, 0.500, 0.328)
Re (0.000, 0.000, 0.494)